Hf8SbH2: relaxed, PBE-GGA.

abc: 5.746 6.750 6.750
angles: 57.54 83.12 83.12
Positions (direct):
Hf (0.663, 0.190, 0.190)
Hf (0.306, 0.823, 0.369)
Hf (0.200, 0.369, 0.369)
Hf (0.800, 0.631, 0.631)
Hf (0.306, 0.369, 0.823)
Hf (0.694, 0.631, 0.177)
Hf (0.694, 0.177, 0.631)
Hf (0.337, 0.810, 0.810)
Sb (0.000, 0.000, 0.000)
H (0.315, 0.189, 0.189)
H (0.685, 0.811, 0.811)

Properties
- crystal system = monoclinic
- total magnetic moment (μB per cell) = 0.00
- final energy (eV per atom) = -8.26

=====

Hf6Sb2H: relaxed, PBE-GGA.

abc: 5.824 6.751 9.164
angles: 90.00 90.02 90.00
Positions (direct):
Sb (0.890, 0.401, 0.752)
Sb (0.110, 0.599, 0.248)
Sb (0.610, 0.901, 0.748)
Sb (0.390, 0.099, 0.252)
H (0.500, 0.500, 0.000)
H (0.000, 0.000, 0.500)
Hf (0.877, 0.707, 0.971)
Hf (0.376, 0.799, 0.028)
Hf (0.867, 0.981, 0.249)
Hf (0.124, 0.299, 0.472)
Hf (0.367, 0.519, 0.749)
Hf (0.876, 0.701, 0.528)
Hf (0.133, 0.019, 0.751)
Hf (0.123, 0.293, 0.029)
Hf (0.633, 0.481, 0.251)
Hf (0.623, 0.207, 0.529)
Hf (0.624, 0.201, 0.972)
Hf (0.377, 0.793, 0.471)

Properties
- crystal system = monoclinic
- total magnetic moment (μB per cell) = 0.00
- final energy (eV per atom) = -8.24

=====

Hf2SbH: relaxed, PBE-GGA.

abc: 3.409 3.409 7.133
angles: 76.17 76.17 60.00
Positions (direct):
Sb (0.655, 0.655, 0.036)
Hf (0.429, 0.429, 0.712)
Hf (0.212, 0.212, 0.363)
H (0.823, 0.823, 0.531)

Properties
- crystal system = trigonal
- total magnetic moment (μB per cell) = 0.00
- final energy (eV per atom) = -7.12
- relative energy among the computed polymorphs (eV/atom) = 0.000

=====

Please write out number 1 again, unchanged.
Hf8SbH2: relaxed, PBE-GGA.

abc: 5.746 6.750 6.750
angles: 57.54 83.12 83.12
Positions (direct):
Hf (0.663, 0.190, 0.190)
Hf (0.306, 0.823, 0.369)
Hf (0.200, 0.369, 0.369)
Hf (0.800, 0.631, 0.631)
Hf (0.306, 0.369, 0.823)
Hf (0.694, 0.631, 0.177)
Hf (0.694, 0.177, 0.631)
Hf (0.337, 0.810, 0.810)
Sb (0.000, 0.000, 0.000)
H (0.315, 0.189, 0.189)
H (0.685, 0.811, 0.811)

Properties
- crystal system = monoclinic
- total magnetic moment (μB per cell) = 0.00
- final energy (eV per atom) = -8.26

=====

Copy entry 1 word for word.
Hf8SbH2: relaxed, PBE-GGA.

abc: 5.746 6.750 6.750
angles: 57.54 83.12 83.12
Positions (direct):
Hf (0.663, 0.190, 0.190)
Hf (0.306, 0.823, 0.369)
Hf (0.200, 0.369, 0.369)
Hf (0.800, 0.631, 0.631)
Hf (0.306, 0.369, 0.823)
Hf (0.694, 0.631, 0.177)
Hf (0.694, 0.177, 0.631)
Hf (0.337, 0.810, 0.810)
Sb (0.000, 0.000, 0.000)
H (0.315, 0.189, 0.189)
H (0.685, 0.811, 0.811)

Properties
- crystal system = monoclinic
- total magnetic moment (μB per cell) = 0.00
- final energy (eV per atom) = -8.26